(1)
The following is a PBE-GGA calculation of an optimized crystal structure of Na3H, from Alexandria.

a = 3.2061 Å, b = 10.3140 Å, c = 6.1036 Å
α = 90.00°, β = 90.00°, γ = 90.00°
Closest atoms and distances in Å follow each position.
Space group Imm2 (No. 44)
Symmetry-distinct sites (fractional):
Na1 0.0000 0.0000 0.0000  2 H 2.45
Na2 0.0000 0.1581 0.4582  2 H 2.47
H1 0.0000 0.5000 0.8041  6 Na 2.45-2.47

**Volume**: 201.8 Å³ per cell
**Fermi-level density of states**: 0.51 states/eV per atom
**Energy**: -1.810 eV per atom



(2)
The following is a PBE-GGA calculation of an optimized crystal structure of CaIn2Au, from Alexandria.

a = 3.7046 Å, b = 3.7046 Å, c = 7.2696 Å
α = 90.00°, β = 90.00°, γ = 90.00°
Closest atoms and distances in Å follow each position.
Space group P4mm (No. 99)
Symmetry-distinct sites (fractional):
Ca1 0.0000 0.0000 0.0000  4 Au 3.11, 5 In 3.28-3.38
In1 0.0000 0.0000 0.5493  4 Au 3.07, 4 In 3.21, 1 Ca 3.28
In2 0.5000 0.5000 0.2944  4 In 3.21, 4 Ca 3.38, 1 Au 3.46
Au1 0.5000 0.5000 0.7706  4 In 3.07, 4 Ca 3.11

**Volume**: 99.8 Å³ per cell
**E_form**: -0.389 eV per atom
**Fermi-level density of states**: 0.42 states/eV per atom
**Energy**: -3.078 eV per atom



(3)
The following is a PBE-GGA calculation of an optimized crystal structure of Y6GaPd5, from Alexandria.

a = 5.0170 Å, b = 6.9927 Å, c = 7.9344 Å
α = 90.00°, β = 108.24°, γ = 90.00°
Closest atoms and distances in Å follow each position.
Space group P2/m (No. 10)
Symmetry-distinct sites (fractional):
Y1 0.0000 0.2451 0.0000  6 Pd 2.99-3.05, 2 Ga 3.08
Y2 0.3312 0.2496 0.6632  7 Pd 3.03-3.13, 1 Ga 3.08
Ga1 0.5000 0.5000 0.0000  8 Y 3.08
Pd1 0.1607 0.5000 0.3191  8 Y 2.99-3.13
Pd2 0.1684 0.0000 0.3352  8 Y 3.03-3.06
Pd3 0.5000 0.0000 0.0000  8 Y 3.04-3.08

**Volume**: 264.4 Å³ per cell
**E_form**: -0.824 eV per atom
**Fermi-level density of states**: 0.67 states/eV per atom
**Energy**: -6.472 eV per atom